Computed, not measured: a relaxed Tb3Se2S crystal at the PBE level of DFT.

The structure in POSCAR format:
```
Tb3Se2S
1.0
-2.0171 2.8460 6.1032
2.0171 -2.8460 6.1032
2.0171 2.8460 -6.1032
Tb Se S
3 2 1
direct
0.0000 0.0000 0.0000
0.3488 0.3488 0.0000
0.6512 0.6512 0.0000
0.1719 0.6719 0.5000
0.8281 0.3281 0.5000
0.5000 0.0000 0.5000
```

Summary:
total magnetic moment: 0.0 μB/f.u.
electronic total energy: -6.01 eV/atom
density of states at the Fermi level: 2.6 states/eV per cell